Material: BaNiIr2O8
Method: DFT, PBE+U
State: relaxed

Results
For the raw total energy, the calculation gives -6.0184 eV/atom.

Cell: 5.3452 5.3452 7.5782 Å, 90.00 90.00 120.00°
Closest atoms and distances in Å follow each position.
Sites, in units of the cell vectors:
Ba 0.0000 0.0000 0.0000  12 O 2.94-3.11
Ni 0.0000 0.0000 0.5000  6 O 2.05
Ir 0.3333 0.6667 0.7042  4 O 1.83-1.86
Ir 0.6667 0.3333 0.2958  4 O 1.83-1.86
O 0.0228 0.3053 0.6729  1 Ir 1.83
O 0.2825 0.9772 0.6729  1 Ir 1.83
O 0.3053 0.2825 0.3271  1 Ir 1.83
O 0.3333 0.6667 0.9495  1 Ir 1.86
O 0.6667 0.3333 0.0505  1 Ir 1.86
O 0.6947 0.7175 0.6729  1 Ir 1.83
O 0.7175 0.0228 0.3271  1 Ir 1.83
O 0.9772 0.6947 0.3271  1 Ir 1.83